Computed, not measured: crystalline Sr2NiF6 at its relaxed geometry at the PBE with a Hubbard U level of DFT.

a = 5.2915 Å, b = 5.2915 Å, c = 10.7483 Å
α = 90.00°, β = 90.00°, γ = 90.00°
Space group P4_2/mnm (No. 136)
One atom of each set of equivalent atoms:
Sr (0.0000, 0.0000, 0.1656) [4 per cell]
Ni (0.0000, 0.0000, 0.5000) [2 per cell]
F (0.1803, 0.1803, 0.3547) [8 per cell]
F (0.2254, 0.2254, 0.0000) [4 per cell]

## Properties
Magnetization = 4.2 μB per cell
Crystal system = tetragonal
DOS at the Fermi energy = 0.00 states/eV/f.u.
Total energy = -5.186 eV per atom
Excess energy over the best structure of this formula in the dataset = 0 meV per atom